LiV2Zn2Si2O10 PBE with a Hubbard U optimized geometry; energy relative to the lowest polymorph listed for this composition = 0.80 kJ/mol of atoms; uncorrected energy = -115.93 eV per cell; SG = P1, No. 1
1.0
-0.283 4.005 -3.510
-2.420 -3.800 -3.231
-4.514 1.382 5.504
Li V Zn Si O
1 2 2 2 10
direct
0.001 0.919 0.191 Li
0.532 0.002 0.502 V
0.474 0.992 0.993 V
0.246 0.346 0.722 Zn
0.731 0.581 0.265 Zn
0.818 0.627 0.751 Si
0.177 0.387 0.252 Si
0.582 0.647 0.855 O
0.746 0.733 0.557 O
0.367 0.323 0.111 O
0.272 0.246 0.426 O
0.188 0.700 0.340 O
0.853 0.258 0.116 O
0.853 0.323 0.665 O
0.109 0.800 0.937 O
0.627 0.916 0.240 O
0.418 0.050 0.749 O